No. 1
The following is a PBE calculation of a relaxed structure of K2Cd5Ag4, from the Alexandria database.

Cell lengths 6.082, 6.082, 9.538 Å; angles 99.50, 99.50, 118.85 degrees
Positions (direct):
Ag1 0.783 0.475 0.258
Ag2 0.475 0.783 0.258
Ag3 0.525 0.217 0.742
Ag4 0.217 0.525 0.742
Cd1 0.750 0.250 0.500
Cd2 0.500 0.000 0.000
Cd3 0.250 0.750 0.500
Cd4 0.000 0.500 0.000
Cd5 0.500 0.500 0.000
K1 0.136 0.136 0.271
K2 0.864 0.864 0.729

No. 2
The following is a PBE calculation of a relaxed structure of K2Cd7Ag2, from the Alexandria database.

Cell lengths 4.948, 11.044, 11.044 Å; angles 51.09, 132.38, 132.38 degrees
Positions (direct):
Cd1 0.634 0.537 0.886
Cd2 0.000 0.000 0.000
Cd3 0.303 0.768 0.768
Cd4 0.366 0.114 0.463
Cd5 0.697 0.232 0.232
Cd6 0.634 0.886 0.537
Cd7 0.366 0.463 0.114
Ag1 0.822 0.107 0.107
Ag2 0.178 0.893 0.893
K1 0.500 0.316 0.684
K2 0.500 0.684 0.316

No. 3
The following is a PBE calculation of a relaxed structure of K2CdAg2, from the Alexandria database.

Cell lengths 9.648, 9.648, 3.802 Å; angles 90.00, 90.00, 90.00 degrees
Positions (direct):
Ag1 0.106 0.606 0.500
Ag2 0.394 0.106 0.500
Ag3 0.606 0.894 0.500
Ag4 0.894 0.394 0.500
K1 0.819 0.681 0.000
K2 0.181 0.319 0.000
K3 0.681 0.181 0.000
K4 0.319 0.819 0.000
Cd1 0.500 0.500 0.000
Cd2 0.000 0.000 0.000

Formation enthalpy at 0 K values, unit eV/atom, following the record order: -0.034, -0.006, 0.192.
Total magnetic moment values, unit μB per formula unit, following the record order: 0.00, 0.00, 0.00.